Crystalline MnNi2Cl at its relaxed geometry, computed with PBE.

Cell lengths 4.791, 4.791, 4.791 Å; angles 135.07, 135.07, 65.43 degrees
Fractional coordinates of all 4 atoms:
Cl 0.250 0.750 0.500
Mn 0.750 0.250 0.500
Ni 0.000 0.000 0.000
Ni 0.500 0.500 0.000

Output
Raw total energy (eV per atom): -5.19
M_tot (μB per cell): 5.2